(1)
# BaI

A geometry-optimized BaI structure (PBE-GGA, the Alexandria database).

The space group is P6_3/m (No. 176) and the conventional cell measures 9.9489, 9.9489 and 7.0476 Å, with angles of 90.00, 90.00 and 120.00 degrees. The distinct sites, in fractional coordinates, are Ba at (0.0811, 0.7324, 0.2500) and I at (0.0916, 0.6792, 0.7500).

(2)
# BaI2

A geometry-optimized BaI2 structure (PBE-GGA, the Alexandria database).

The space group is P-62m (No. 189) and the conventional cell measures 9.2639, 9.2639 and 5.2560 Å, with angles of 90.00, 90.00 and 120.00 degrees. The distinct sites, in fractional coordinates, are Ba at (0.0000, 0.0000, 0.0000), Ba at (0.3333, 0.6667, 0.5000), I at (0.0000, 0.4067, 0.0000) and I at (0.0000, 0.7428, 0.5000).

(3)
# BaI

A geometry-optimized BaI structure (PBE-GGA, the Alexandria database).

The space group is P4/nmm (No. 129, origin choice 2) and the conventional cell measures 4.931, 4.931 and 7.159 Å, with angles of 90.00, 90.00 and 90.00 degrees. The distinct sites, in fractional coordinates, are Ba at (0.250, 0.250, 0.208) and I at (0.250, 0.250, 0.713).

(4)
# Ba5I

A geometry-optimized Ba5I structure (PBE-GGA, the Alexandria database).

The space group is Cmmm (No. 65) and the conventional cell measures 4.558, 20.931 and 7.174 Å, with angles of 90.00, 90.00 and 90.00 degrees. The distinct sites, in fractional coordinates, are Ba at (0.000, 0.000, 0.000), Ba at (0.000, 0.152, 0.500), Ba at (0.000, 0.327, 0.000) and I at (0.000, 0.500, 0.500).

(5)
# BaI2

A geometry-optimized BaI2 structure (PBE-GGA, the Alexandria database).

The space group is Pnma (No. 62) and the conventional cell measures 9.004, 5.422 and 10.855 Å, with angles of 90.00, 90.00 and 90.00 degrees. The distinct sites, in fractional coordinates, are Ba at (0.244, 0.250, 0.112), I at (0.021, 0.250, 0.836) and I at (0.142, 0.250, 0.425).

(6)
# BaI

A geometry-optimized BaI structure (PBE-GGA, the Alexandria database).

The space group is Pm-3m (No. 221) and the conventional cell measures 4.279, 4.279 and 4.279 Å, with angles of 90.00, 90.00 and 90.00 degrees. The distinct sites, in fractional coordinates, are Ba at (0.000, 0.000, 0.000) and I at (0.500, 0.500, 0.500).

(7)
# Ba2I3

A geometry-optimized Ba2I3 structure (PBE-GGA, the Alexandria database).

The space group is R-3c (No. 167, hexagonal axes) and the conventional cell measures 8.4913, 8.4913 and 25.5837 Å, with angles of 90.00, 90.00 and 120.00 degrees. The distinct sites, in fractional coordinates, are Ba at (0.0000, 0.0000, 0.1603) and I at (0.0000, 0.3116, 0.2500).

The calculation puts the energy above the most stable polymorph in this dataset at 0.022 eV per atom.

(8)
# BaI

A geometry-optimized BaI structure (PBE-GGA, the Alexandria database).

The space group is F-43m (No. 216) and the conventional cell measures 7.995, 7.995 and 7.995 Å, with angles of 90.00, 90.00 and 90.00 degrees. The distinct sites, in fractional coordinates, are Ba at (0.000, 0.000, 0.000) and I at (0.250, 0.250, 0.250).

(9)
# Ba5In4I

A geometry-optimized Ba5In4I structure (PBE-GGA, the Alexandria database).

The space group is P4/mmm (No. 123) and the conventional cell measures 4.273, 4.273 and 22.008 Å, with angles of 90.00, 90.00 and 90.00 degrees. The distinct sites, in fractional coordinates, are Ba at (0.000, 0.000, 0.000), Ba at (0.000, 0.000, 0.194), Ba at (0.000, 0.000, 0.384), In at (0.500, 0.500, 0.100), In at (0.500, 0.500, 0.290) and I at (0.500, 0.500, 0.500).

(10)
# Ba3In2I

A geometry-optimized Ba3In2I structure (PBE-GGA, the Alexandria database).

The space group is P4/mmm (No. 123) and the conventional cell measures 4.283, 4.283 and 13.344 Å, with angles of 90.00, 90.00 and 90.00 degrees. The distinct sites, in fractional coordinates, are Ba at (0.000, 0.000, 0.000), Ba at (0.000, 0.000, 0.310), In at (0.500, 0.500, 0.154) and I at (0.500, 0.500, 0.500).

(11)
# BaIn2I

A geometry-optimized BaIn2I structure (PBE-GGA, the Alexandria database).

The space group is Fm-3m (No. 225) and the conventional cell measures 8.400, 8.400 and 8.400 Å, with angles of 90.00, 90.00 and 90.00 degrees. The distinct sites, in fractional coordinates, are Ba at (0.000, 0.000, 0.000), In at (0.250, 0.250, 0.250) and I at (0.000, 0.000, 0.500).

The calculation puts the energy above the most stable polymorph in this dataset at 0.133 eV per atom.

(12)
# Ba4InI5

A geometry-optimized Ba4InI5 structure (PBE-GGA, the Alexandria database).

The space group is C2/m (No. 12) and the conventional cell measures 22.248, 4.936 and 10.494 Å, with angles of 90.00, 108.27 and 90.00 degrees. The distinct sites, in fractional coordinates, are Ba at (0.002, 0.000, 0.250), Ba at (0.167, 0.500, 0.111), In at (0.000, 0.500, 0.000), I at (0.000, 0.500, 0.500), I at (0.168, 0.000, 0.342) and I at (0.168, 0.000, 0.868).

(13)
# BaInI4

A geometry-optimized BaInI4 structure (PBE-GGA, the Alexandria database).

The space group is C2/m (No. 12) and the conventional cell measures 8.513, 8.213 and 8.215 Å, with angles of 90.00, 105.10 and 90.00 degrees. The distinct sites, in fractional coordinates, are Ba at (0.000, 0.000, 0.000), In at (0.000, 0.500, 0.500) and I at (0.200, 0.237, 0.737).

The calculation puts the energy above the most stable polymorph in this dataset at 0.032 eV per atom.

(14)
# Ba5In2I2

A geometry-optimized Ba5In2I2 structure (PBE-GGA, the Alexandria database).

The space group is Cmce (No. 64) and the conventional cell measures 18.188, 9.518 and 9.518 Å, with angles of 90.00, 90.00 and 90.00 degrees. The distinct sites, in fractional coordinates, are Ba at (0.000, 0.000, 0.000), Ba at (0.126, 0.166, 0.338), In at (0.000, 0.125, 0.624) and I at (0.204, 0.000, 0.000).

(15)
# Ba5In2I

A geometry-optimized Ba5In2I structure (PBE-GGA, the Alexandria database).

The space group is I4/mcm (No. 140) and the conventional cell measures 9.954, 9.954 and 14.953 Å, with angles of 90.00, 90.00 and 90.00 degrees. The distinct sites, in fractional coordinates, are Ba at (0.000, 0.000, 0.000), Ba at (0.154, 0.346, 0.140), In at (0.137, 0.363, 0.500) and I at (0.000, 0.000, 0.250).

(16)
# BaIn3I6

A geometry-optimized BaIn3I6 structure (PBE-GGA, the Alexandria database).

The space group is P2_1/m (No. 11) and the conventional cell measures 13.844, 4.791 and 14.024 Å, with angles of 90.00, 108.97 and 90.00 degrees. The distinct sites, in fractional coordinates, are Ba at (0.059, 0.250, 0.194), In at (0.150, 0.250, 0.592), In at (0.332, 0.750, 0.014), In at (0.461, 0.250, 0.349), I at (0.080, 0.750, 0.401), I at (0.106, 0.250, 0.956), I at (0.182, 0.750, 0.742), I at (0.259, 0.750, 0.229), I at (0.362, 0.250, 0.565) and I at (0.491, 0.250, 0.134).

(17)
# Ba2InI6

A geometry-optimized Ba2InI6 structure (PBE-GGA, the Alexandria database).

The space group is P4_2/mnm (No. 136) and the conventional cell measures 7.883, 7.883 and 15.351 Å, with angles of 90.00, 90.00 and 90.00 degrees. The distinct sites, in fractional coordinates, are Ba at (0.000, 0.000, 0.167), In at (0.000, 0.000, 0.500), I at (0.189, 0.189, 0.347) and I at (0.211, 0.211, 0.000).

(18)
# Ba3InI2

A geometry-optimized Ba3InI2 structure (PBE-GGA, the Alexandria database).

The space group is C2/m (No. 12) and the conventional cell measures 20.418, 4.689 and 12.480 Å, with angles of 90.00, 109.90 and 90.00 degrees. The distinct sites, in fractional coordinates, are Ba at (0.022, 0.000, 0.298), Ba at (0.131, 0.500, 0.039), Ba at (0.179, 0.500, 0.633), In at (0.000, 0.000, 0.000), In at (0.000, 0.500, 0.500), I at (0.177, 0.000, 0.847) and I at (0.182, 0.500, 0.348).

(19)
# BaIn2I

A geometry-optimized BaIn2I structure (PBE-GGA, the Alexandria database).

The space group is I-42d (No. 122) and the conventional cell measures 9.773, 9.773 and 6.759 Å, with angles of 90.00, 90.00 and 90.00 degrees. The distinct sites, in fractional coordinates, are Ba at (0.000, 0.000, 0.000), In at (0.232, 0.250, 0.625) and I at (0.000, 0.000, 0.500).

The calculation puts the energy above the most stable polymorph in this dataset at 0.000 eV per atom.

(20)
# BaInI

A geometry-optimized BaInI structure (PBE-GGA, the Alexandria database).

The space group is C2/m (No. 12) and the conventional cell measures 6.468, 6.007 and 13.056 Å, with angles of 90.00, 97.69 and 90.00 degrees. The distinct sites, in fractional coordinates, are Ba at (0.180, 0.000, 0.233), In at (0.226, 0.500, 0.039) and I at (0.215, 0.500, 0.367).

| no. | Fermi-level density of states (states/eV/cell) | uncorrected formation energy (eV/f.u.) |
| --- | --- | --- |
| 1 | 7.94 | -2.44 |
| 2 | 0.00 | -5.32 |
| 3 | 3.31 | -2.57 |
| 4 | 18.56 | -1.71 |
| 5 | 0.00 | -5.34 |
| 6 | 1.44 | -2.41 |
| 7 | 25.39 | -7.57 |
| 8 | 4.02 | -2.16 |
| 9 | 6.58 | -5.79 |
| 10 | 2.79 | -4.24 |
| 11 | 18.60 | -0.73 |
| 12 | 7.86 | -13.64 |
| 13 | 4.88 | -6.07 |
| 14 | 7.62 | -7.37 |
| 15 | 16.55 | -4.49 |
| 16 | 9.44 | -8.11 |
| 17 | 12.08 | -11.34 |
| 18 | 21.02 | -6.02 |
| 19 | 9.28 | -1.26 |
| 20 | 6.31 | -2.84 |